DFT (PBE) results for an optimized crystal structure of Ca2MgCl.

Properties
Energy above the most stable polymorph in this dataset (eV per atom): 0.138
Uncorrected energy (eV per atom): -2.533
ρ (Mg/m³): 1.65
Symmetry: Cmm2
Size of the total moment (μB/atom): 0.000
Raw formation energy (kJ per mole of atoms): -64.80
DOS(E_F) (states/eV per cell): 6.8

The structure in extended XYZ format:
```
8
Lattice="5.0699 0.0000 0.0000 0.0000 5.0949 0.0000 0.0000 0.0000 10.9077" Properties=species:S:1:pos:R:3 pbc="T T T"
Ca 0.0000 0.0000 0.0000
Ca 0.0000 2.5475 3.1112
Ca 2.5350 0.0000 3.1112
Ca 2.5350 2.5475 0.0000
Mg 0.0000 0.0000 5.4865
Mg 2.5350 2.5475 5.4865
Cl 0.0000 2.5475 9.5504
Cl 2.5350 0.0000 9.5504
```


DFT (PBE) results for an optimized crystal structure of BaHI2O8.

Properties
Uncorrected energy (eV per atom): -4.443
ρ (Mg/m³): 4.39
Symmetry: C2/m
Size of the total moment (μB/atom): 0.000
DOS(E_F) (states/eV per cell): 2.4

The structure in extended XYZ format:
```
12
Lattice="5.8628 -2.6362 0.0000 5.8628 2.6362 0.0000 -3.4447 0.0000 6.3687" Properties=species:S:1:pos:R:3 pbc="T T T"
Ba 0.0000 0.0000 0.0000
H 4.1405 0.0000 3.1844
I -0.0579 0.0000 4.2231
I 8.3388 0.0000 2.1456
O 3.6056 1.1899 1.9714
O 0.7088 0.0000 2.5737
O 1.3014 0.0000 5.4746
O 4.6753 1.1899 4.3973
O 3.6056 -1.1899 1.9714
O 6.9795 0.0000 0.8942
O 7.5721 0.0000 3.7951
O 4.6753 -1.1899 4.3973
```


DFT (PBE) results for an optimized crystal structure of LaZn2Os.

Properties
Uncorrected energy (eV per atom): -4.565
ρ (Mg/m³): 10.11
Symmetry: P4/mmm
Size of the total moment (μB/atom): 0.000
Energy of formation (eV/f.u.): 0.4
DOS(E_F) (states/eV per cell): 2.7

The structure in extended XYZ format:
```
4
Lattice="3.3944 0.0000 0.0000 0.0000 3.3944 0.0000 0.0000 0.0000 6.5558" Properties=species:S:1:pos:R:3 pbc="T T T"
La 0.0000 0.0000 0.0000
Zn 1.6972 1.6972 2.0563
Zn 1.6972 1.6972 4.4994
Os 0.0000 0.0000 3.2779
```


DFT (PBE) results for an optimized crystal structure of Pu4SI5.

Properties
Uncorrected energy (eV per atom): -7.992
ρ (Mg/m³): 8.12
Symmetry: C2/m
Size of the total moment (μB/atom): 0.013
Raw formation energy (kJ per mole of atoms): -103.38
DOS(E_F) (states/eV per cell): 41.5

The structure in extended XYZ format:
```
10
Lattice="9.4592 -2.0648 0.0000 9.4592 2.0648 0.0000 -1.8688 0.0000 8.5999" Properties=species:S:1:pos:R:3 pbc="T T T"
Pu -0.5075 0.0000 2.4626
Pu 5.7837 0.0000 3.7282
Pu 11.2659 0.0000 4.8718
Pu 17.5571 0.0000 6.1373
S 8.5248 0.0000 4.3000
I 1.5785 0.0000 7.2203
I 2.6863 0.0000 2.6603
I 9.4592 0.0000 0.0000
I 14.3634 0.0000 5.9396
I 15.4712 0.0000 1.3797
```


- What is the formula in the fourth record?
  Pu4SI5


- The highest ρ belongs to which entry?
  LaZn2Os


Repeat the first record exactly.
DFT (PBE) results for an optimized crystal structure of Ca2MgCl.

Properties
Energy above the most stable polymorph in this dataset (eV per atom): 0.138
Uncorrected energy (eV per atom): -2.533
ρ (Mg/m³): 1.65
Symmetry: Cmm2
Size of the total moment (μB/atom): 0.000
Raw formation energy (kJ per mole of atoms): -64.80
DOS(E_F) (states/eV per cell): 6.8

The structure in extended XYZ format:
```
8
Lattice="5.0699 0.0000 0.0000 0.0000 5.0949 0.0000 0.0000 0.0000 10.9077" Properties=species:S:1:pos:R:3 pbc="T T T"
Ca 0.0000 0.0000 0.0000
Ca 0.0000 2.5475 3.1112
Ca 2.5350 0.0000 3.1112
Ca 2.5350 2.5475 0.0000
Mg 0.0000 0.0000 5.4865
Mg 2.5350 2.5475 5.4865
Cl 0.0000 2.5475 9.5504
Cl 2.5350 0.0000 9.5504
```


Please write out number 3 again, unchanged.
DFT (PBE) results for an optimized crystal structure of LaZn2Os.

Properties
Uncorrected energy (eV per atom): -4.565
ρ (Mg/m³): 10.11
Symmetry: P4/mmm
Size of the total moment (μB/atom): 0.000
Energy of formation (eV/f.u.): 0.4
DOS(E_F) (states/eV per cell): 2.7

The structure in extended XYZ format:
```
4
Lattice="3.3944 0.0000 0.0000 0.0000 3.3944 0.0000 0.0000 0.0000 6.5558" Properties=species:S:1:pos:R:3 pbc="T T T"
La 0.0000 0.0000 0.0000
Zn 1.6972 1.6972 2.0563
Zn 1.6972 1.6972 4.4994
Os 0.0000 0.0000 3.2779
```